Record 1
VASP calculation (GGA-PBE) on a geometry-optimized GaIrW3 structure.

Cell: 4.4995 4.4995 4.4995 Å, 90.00 90.00 90.00°
Closest atoms and distances in Å follow each position.
Fractional positions:
Ir (0.5000, 0.5000, 0.5000)  12 W 3.18
Ga (0.0000, 0.0000, 0.0000)  6 W 2.25
W (0.0000, 0.5000, 0.0000)  2 Ga 2.25
W (0.0000, 0.0000, 0.5000)  2 Ga 2.25
W (0.5000, 0.0000, 0.0000)  2 Ga 2.25

Results
Formation enthalpy at 0 K in eV per atom: 1.86
Symmetry: No. 221



Record 2
VASP calculation (GGA-PBE) on a geometry-optimized Nd2NCl2 structure.

Cell: 3.7758 3.7758 10.6638 Å, 80.92 79.80 60.00°
Closest atoms and distances in Å follow each position.
Fractional positions:
Nd (0.7154, 0.2011, 0.3681)  3 N 2.58, 3 Cl 2.85
Nd (0.2846, 0.7989, 0.6319)  3 N 2.58, 3 Cl 2.85
N (0.0000, 0.5000, 0.5000)  6 Nd 2.58
Cl (0.4467, 0.9136, 0.1930)  3 Nd 2.85
Cl (0.5533, 0.0864, 0.8070)  3 Nd 2.85

Results
Symmetry: No. 12
Formation energy (no corrections) in eV/atom: -1.860



no.,DOS at the Fermi energy (states/eV/f.u.),total magnetic moment (μB/f.u.)
1,5.36,0.0
2,1.50,0.0